# Hf6PC, relaxed, DFT GGA-PBE
data_Hf6PC
_chemical_formula_sum 'Hf6 P1 C1'
_cell_length_a 6.456
_cell_length_b 6.456
_cell_length_c 6.456
_cell_angle_alpha 52.99
_cell_angle_beta 52.99
_cell_angle_gamma 52.99
_space_group_name_H-M_alt 'P 1'
_space_group_IT_number 1
loop_
_space_group_symop_operation_xyz
'x,y,z'
loop_
_atom_site_label
_atom_site_type_symbol
_atom_site_fract_x
_atom_site_fract_y
_atom_site_fract_z
Hf1 Hf 0.093 0.438 0.739
Hf2 Hf 0.261 0.907 0.562
Hf3 Hf 0.438 0.739 0.093
Hf4 Hf 0.562 0.261 0.907
Hf5 Hf 0.739 0.093 0.438
Hf6 Hf 0.907 0.562 0.261
P1 P 0.000 0.000 0.000
C1 C 0.500 0.500 0.500
# energy: -9.775 eV per atom